Compound: Ru2WAu
Source: Alexandria
Functional: PBE-GGA
Structure: relaxed Values from VASP.

Geometry as Quantum ESPRESSO input:
```
&SYSTEM
  ibrav = 0, nat = 4, ntyp = 3
/
ATOMIC_SPECIES
Ru 101.07 Ru.upf
W 183.84 W.upf
Au 196.97 Au.upf
ATOMIC_POSITIONS crystal
Ru 0.000 0.000 0.000
Ru 0.500 0.500 0.211
W 0.000 0.000 0.468
Au 0.500 0.500 0.731
CELL_PARAMETERS angstrom
2.757 0.000 0.000
0.000 2.757 0.000
0.000 0.000 8.135
```

Values from the calculation:
Excess energy over the best structure of this formula in the dataset   80.3 meV/atom
E_form   0.2535 eV/atom
Space-group type   P4mm

=====

Compound: RuWAu2
Source: Alexandria
Functional: PBE-GGA
Structure: relaxed Values from VASP.

Geometry as Quantum ESPRESSO input:
```
&SYSTEM
  ibrav = 0, nat = 4, ntyp = 3
/
ATOMIC_SPECIES
Ru 101.07 Ru.upf
W 183.84 W.upf
Au 196.97 Au.upf
ATOMIC_POSITIONS crystal
Ru 0.000 0.000 0.000
W 0.500 0.500 0.000
Au 0.000 0.500 0.500
Au 0.500 0.000 0.500
CELL_PARAMETERS angstrom
3.857 0.000 0.000
0.000 3.857 0.000
0.000 0.000 4.384
```

Values from the calculation:
Excess energy over the best structure of this formula in the dataset   313.6 meV/atom
E_form   0.4794 eV/atom
Space-group type   P4/mmm

=====

Compound: Ru2WAu
Source: Alexandria
Functional: PBE-GGA
Structure: relaxed Values from VASP.

Geometry as Quantum ESPRESSO input:
```
&SYSTEM
  ibrav = 0, nat = 4, ntyp = 3
/
ATOMIC_SPECIES
Ru 101.07 Ru.upf
W 183.84 W.upf
Au 196.97 Au.upf
ATOMIC_POSITIONS crystal
Ru 0.000 0.000 0.000
Ru 0.257 0.257 0.257
W 0.747 0.747 0.747
Au 0.503 0.503 0.503
CELL_PARAMETERS angstrom
1.396 0.806 9.191
-1.396 0.806 9.191
0.000 -1.612 9.191
```

Values from the calculation:
Excess energy over the best structure of this formula in the dataset   114.9 meV/atom
E_form   0.2881 eV/atom
Space-group type   R3m